Material: ZnCu2NiF8
Method: DFT, PBE+U
State: relaxed

Calculated values
For the raw total energy, the calculation gives -3.934 eV per atom. The density of states at the Fermi level is 10.7 states/eV per cell. As for the total magnetization: 4.001 μB per formula unit.

a b c (Å): 5.815 5.815 5.815
angles (deg): 111.98 111.98 104.57
Site moments in Bohr magnetons follow the coordinates.
Sites, in units of the cell vectors:
F 0.896 0.701 0.195  0.08
F 0.955 0.260 0.305  0.08
F 0.299 0.104 0.805  0.08
F 0.350 0.045 0.305  0.08
F 0.740 0.045 0.695  0.08
F 0.299 0.494 0.195  0.08
F 0.955 0.650 0.695  0.08
F 0.506 0.701 0.805  0.08
Cu 0.750 0.250 0.500  0.69
Cu 0.500 0.500 0.000  0.71
Zn 0.250 0.750 0.500  0.02
Ni 0.000 0.000 0.000  1.85